The following is a DFT calculation (PBE) of a relaxed SrTc2Pb crystal.

Results
- SG = R3m
- formation energy from the elements (eV/f.u.) = 1.849
- raw total energy (eV/cell) = -24.27
- DOS at the Fermi energy (states/eV/f.u.) = 3.2

Cell lengths 8.7424, 8.7424, 8.7424 Å; angles 24.94, 24.94, 24.94 degrees
Closest atoms and distances in Å follow each position.
Sites, in units of the cell vectors:
Tc (0.9756, 0.9756, 0.9756)  3 Tc 2.40
Tc (0.2696, 0.2696, 0.2696)  3 Tc 2.40
Sr (0.7369, 0.7369, 0.7369)  3 Tc 3.24, 3 Pb 3.63
Pb (0.5179, 0.5179, 0.5179)  3 Tc 3.07